# 1
TbF4: relaxed, PBE.

Computed properties:
Space-group type ... Pm-3m (221)
E ... -5.51 eV per atom
E above lowest polymorph ... 0.66 eV per formula unit
Energy relative to the elements, uncorrected ... -3088 meV per atom
Total moment ... 0.201 μB per atom

a b c (Å): 4.4105 4.4105 4.4105
angles (deg): 90.00 90.00 90.00
With the nearest neighbours (Å) after each atom.
Fractional positions:
Tb 0.0000 0.0000 0.0000  6 F 2.21
F 0.0000 0.0000 0.5000  2 Tb 2.21
F 0.0000 0.5000 0.0000  2 Tb 2.21
F 0.5000 0.0000 0.0000  2 Tb 2.21
F 0.5000 0.5000 0.5000  12 F 3.12


# 2
KYW: relaxed, PBE.

Computed properties:
Space-group type ... P3m1 (156)
E ... -5.71 eV per atom
E above lowest polymorph ... 0.29 eV per formula unit
Total moment ... 0.000 μB per atom
Energy of formation ... 1.12 eV per atom

a b c (Å): 3.2202 3.2202 9.1210
angles (deg): 90.00 90.00 120.00
With the nearest neighbours (Å) after each atom.
Fractional positions:
K 0.0000 0.0000 0.0000  6 K 3.22, 3 W 3.55
Y 0.6667 0.3333 0.5857  3 W 2.97, 6 Y 3.22
W 0.3333 0.6667 0.3311  3 Y 2.97, 6 W 3.22


# 3
ErScSeO2: relaxed, PBE.

Computed properties:
Space-group type ... P2_1/m (11)
E ... -7.90 eV per atom
Energy relative to the elements, uncorrected ... -3038 meV per atom
Total moment ... 0.000 μB per atom

a b c (Å): 6.3572 3.9340 7.3124
angles (deg): 90.00 110.08 90.00
With the nearest neighbours (Å) after each atom.
Fractional positions:
Er 0.1863 0.2500 0.4326  4 O 2.22-2.30
Er 0.8137 0.7500 0.5674  4 O 2.22-2.30
Sc 0.1589 0.2500 0.9249  4 O 2.06-2.12
Sc 0.8411 0.7500 0.0751  4 O 2.06-2.12
Se 0.4653 0.7500 0.7444  1 Sc 2.75, 3 Er 2.92-3.07
Se 0.5347 0.2500 0.2556  1 Sc 2.75, 3 Er 2.92-3.07
O 0.0162 0.7500 0.3695  1 Sc 2.06, 3 Er 2.22-2.24
O 0.0275 0.7500 0.8928  3 Sc 2.07-2.12, 1 Er 2.30
O 0.9725 0.2500 0.1072  3 Sc 2.07-2.12, 1 Er 2.30
O 0.9838 0.2500 0.6305  1 Sc 2.06, 3 Er 2.22-2.24


# 4
Dy6CuSe5: relaxed, PBE.

Computed properties:
Space-group type ... C2/m (12)
E ... -5.62 eV per atom
Energy relative to the elements, uncorrected ... -1528 meV per atom
Total moment ... 0.000 μB per atom

a b c (Å): 7.0668 7.0668 7.0661
angles (deg): 99.64 99.64 119.91
With the nearest neighbours (Å) after each atom.
Fractional positions:
Dy 0.0791 0.3996 0.7398  1 Cu 2.77, 5 Se 2.89-2.94
Dy 0.2387 0.2387 0.2564  1 Cu 2.79, 5 Se 2.89-2.99
Dy 0.3996 0.0791 0.7398  1 Cu 2.77, 5 Se 2.89-2.94
Dy 0.6004 0.9209 0.2602  1 Cu 2.77, 5 Se 2.89-2.94
Dy 0.7613 0.7613 0.7436  1 Cu 2.79, 5 Se 2.89-2.99
Dy 0.9209 0.6004 0.2602  1 Cu 2.77, 5 Se 2.89-2.94
Cu 0.0000 0.0000 0.5000  6 Dy 2.77-2.79
Se 0.1738 0.8262 0.0000  6 Dy 2.89-2.94
Se 0.3349 0.6651 0.5000  6 Dy 2.89-2.90
Se 0.5000 0.5000 0.0000  6 Dy 2.89-2.99
Se 0.6651 0.3349 0.5000  6 Dy 2.89-2.90
Se 0.8262 0.1738 0.0000  6 Dy 2.89-2.94


# 5
AcPuGa2: relaxed, PBE.

Computed properties:
Space-group type ... P4/mmm (123)
E ... -6.44 eV per atom
E above lowest polymorph ... 0.00 eV per formula unit
Total moment ... 1.429 μB per atom
Energy of formation ... -0.32 eV per atom

a b c (Å): 3.7999 3.7999 7.2835
angles (deg): 90.00 90.00 90.00
With the nearest neighbours (Å) after each atom.
Fractional positions:
Ac 0.0000 0.0000 0.0000  8 Ga 3.39, 2 Pu 3.64
Pu 0.0000 0.0000 0.5000  8 Ga 3.12
Ga 0.5000 0.5000 0.2834  4 Pu 3.12, 1 Ga 3.16, 4 Ac 3.39
Ga 0.5000 0.5000 0.7166  4 Pu 3.12, 1 Ga 3.16, 4 Ac 3.39


# 6
Zn3P: relaxed, PBE.

Computed properties:
Space-group type ... P4/mmm (123)
E ... -2.14 eV per atom
E above lowest polymorph ... 0.55 eV per formula unit
Total moment ... 0.000 μB per atom
Energy of formation ... 0.17 eV per atom

a b c (Å): 5.0135 5.0135 2.5095
angles (deg): 90.00 90.00 90.00
With the nearest neighbours (Å) after each atom.
Fractional positions:
Zn 0.0000 0.0000 0.0000  10 Zn 2.51-2.80
Zn 0.0000 0.5000 0.5000  6 Zn 2.51-2.80, 4 P 2.80
Zn 0.5000 0.0000 0.5000  6 Zn 2.51-2.80, 4 P 2.80
P 0.5000 0.5000 0.0000  2 P 2.51, 8 Zn 2.80


# 7
TbSmPd: relaxed, PBE.

Computed properties:
Space-group type ... P-62m (189)
E ... -5.36 eV per atom
E above lowest polymorph ... 0.00 eV per formula unit
Total moment ... 0.000 μB per atom
Energy of formation ... -0.51 eV per atom

a b c (Å): 7.5079 7.5079 4.8675
angles (deg): 90.00 90.00 120.00
With the nearest neighbours (Å) after each atom.
Fractional positions:
Tb 0.0000 0.5939 0.0000  5 Pd 3.05-3.33
Tb 0.4061 0.4061 0.0000  5 Pd 3.05-3.33
Tb 0.5939 0.0000 0.0000  5 Pd 3.05-3.33
Sm 0.0000 0.2635 0.5000  4 Pd 2.80-3.14
Sm 0.2635 0.0000 0.5000  4 Pd 2.80-3.14
Sm 0.7365 0.7365 0.5000  4 Pd 2.80-3.14
Pd 0.0000 0.0000 0.0000  3 Tb 3.05, 6 Sm 3.14
Pd 0.3333 0.6667 0.5000  3 Sm 2.80
Pd 0.6667 0.3333 0.5000  3 Sm 2.80


# 8
Al2ReW: relaxed, PBE.

Computed properties:
Space-group type ... R3m (160)
E ... -8.23 eV per atom
E above lowest polymorph ... 1.00 eV per formula unit
Total moment ... 0.000 μB per atom
Energy of formation ... -0.01 eV per atom

a b c (Å): 8.9892 8.9892 8.9892
angles (deg): 18.29 18.29 18.29
With the nearest neighbours (Å) after each atom.
Fractional positions:
Al 0.0000 0.0000 0.0000  3 W 2.78, 9 Al 2.84-2.86
Al 0.2463 0.2463 0.2463  3 Re 2.69, 9 Al 2.84-2.86
Re 0.4993 0.4993 0.4993  3 Al 2.69, 3 W 2.72, 6 Re 2.86
W 0.7509 0.7509 0.7509  3 Re 2.72, 3 Al 2.78, 6 W 2.86


# 9
Mo2RuPt: relaxed, PBE.

Computed properties:
Space-group type ... P4/mmm (123)
E ... -9.15 eV per atom
E above lowest polymorph ... 1.17 eV per formula unit
Total moment ... 0.000 μB per atom
Energy of formation ... 0.10 eV per atom

a b c (Å): 3.3589 3.3589 5.5575
angles (deg): 90.00 90.00 90.00
With the nearest neighbours (Å) after each atom.
Fractional positions:
Mo 0.0000 0.0000 0.2255  1 Mo 2.51, 4 Ru 2.69
Mo 0.0000 0.0000 0.7745  1 Mo 2.51, 4 Ru 2.69
Ru 0.5000 0.5000 0.0000  8 Mo 2.69, 2 Pt 2.78
Pt 0.5000 0.5000 0.5000  2 Ru 2.78, 8 Mo 2.82


# 10
SiIr2Br: relaxed, PBE.

Computed properties:
Space-group type ... Pmm2 (25)
E ... -5.84 eV per atom
E above lowest polymorph ... 1.65 eV per formula unit
Energy relative to the elements, uncorrected ... 364 meV per atom
Total moment ... 0.000 μB per atom

a b c (Å): 2.8352 3.7082 7.6124
angles (deg): 90.00 90.00 90.00
With the nearest neighbours (Å) after each atom.
Fractional positions:
Si 0.0000 0.0000 0.0000  5 Ir 2.35-2.42
Ir 0.0000 0.0000 0.6914  1 Si 2.35
Ir 0.5000 0.5000 0.9160  4 Si 2.42
Br 0.5000 0.5000 0.4667  2 Br 2.84, 4 Ir 2.89


# 11
SrSbW2: relaxed, PBE.

Computed properties:
Space-group type ... R-3m (166)
E ... -6.79 eV per atom
Energy relative to the elements, uncorrected ... 1138 meV per atom
Total moment ... 0.000 μB per atom

a b c (Å): 9.8647 9.8647 9.8647
angles (deg): 18.64 18.64 18.64
With the nearest neighbours (Å) after each atom.
Fractional positions:
Sr 0.0000 0.0000 0.0000  6 Sr 3.19, 6 W 3.32
Sb 0.5000 0.5000 0.5000  6 W 2.78
W 0.2384 0.2384 0.2384  3 Sb 2.78
W 0.7616 0.7616 0.7616  3 Sb 2.78


# 12
InIrI3: relaxed, PBE.

Computed properties:
Space-group type ... Pm-3m (221)
E ... -3.13 eV per atom
E above lowest polymorph ... 0.00 eV per formula unit
Energy relative to the elements, uncorrected ... 117 meV per atom
Total moment ... 0.000 μB per atom

a b c (Å): 5.4906 5.4906 5.4906
angles (deg): 90.00 90.00 90.00
With the nearest neighbours (Å) after each atom.
Fractional positions:
In 0.0000 0.0000 0.0000  12 I 3.88
Ir 0.5000 0.5000 0.5000  6 I 2.75
I 0.0000 0.5000 0.5000  2 Ir 2.75
I 0.5000 0.0000 0.5000  2 Ir 2.75
I 0.5000 0.5000 0.0000  2 Ir 2.75